Record 1
# Cs3CeAl2O6

Crystalline Cs3CeAl2O6 at its relaxed geometry (GGA-PBE, Alexandria).

Summary:
**SG**: No. 164
**Crystal system**: trigonal
**VASP energy**: -6.146 eV/atom

Structure (extended XYZ):
```
12
Lattice="6.251 0.000 0.000 -3.125 5.413 0.000 0.000 0.000 7.991" Properties=species:S:1:pos:R:3 pbc="T T T"
Cs 0.000 0.000 0.000
Cs 0.000 3.609 5.992
Cs 3.125 1.804 1.999
Ce 0.000 0.000 3.995
Al 0.000 3.609 2.538
Al 3.125 1.804 5.453
O 0.000 1.888 2.569
O -1.491 4.469 2.569
O 1.635 0.944 5.422
O 1.491 4.469 2.569
O 4.616 0.944 5.422
O 3.125 3.526 5.422
```

Record 2
# Cs2CeAl2S6

Crystalline Cs2CeAl2S6 at its relaxed geometry (GGA-PBE, Alexandria).

Summary:
**SG**: No. 166
**Crystal system**: trigonal
**VASP energy**: -4.874 eV/atom

Structure (extended XYZ):
```
11
Lattice="3.701 2.137 7.516 -3.701 2.137 7.516 0.000 -4.274 7.516" Properties=species:S:1:pos:R:3 pbc="T T T"
Cs 0.000 0.000 4.871
Cs 0.000 0.000 17.676
Ce 0.000 0.000 0.000
Al 0.000 0.000 9.124
Al 0.000 0.000 13.423
S 0.000 -2.164 9.258
S -1.874 1.082 9.258
S -1.874 -1.082 13.288
S 1.874 1.082 9.258
S 1.874 -1.082 13.288
S 0.000 2.164 13.288
```

Record 3
# Cs2Ce2AlS6

Crystalline Cs2Ce2AlS6 at its relaxed geometry (GGA-PBE, Alexandria).

Summary:
**SG**: No. 12
**Crystal system**: monoclinic
**VASP energy**: -5.352 eV/atom

Structure (extended XYZ):
```
11
Lattice="3.476 -5.957 0.000 3.476 5.957 0.000 -2.395 0.000 8.209" Properties=species:S:1:pos:R:3 pbc="T T T"
Cs 3.476 3.929 0.000
Cs 3.476 -3.929 0.000
Ce 2.278 1.990 4.104
Ce 2.278 -1.990 4.104
Al -1.198 0.000 4.104
S -0.134 1.818 5.519
S 0.854 0.000 2.727
S -0.134 -1.818 5.519
S 4.690 1.818 2.690
S 3.702 0.000 5.482
S 4.690 -1.818 2.690
```

Record 4
# Cs3Ce3AlS8

Crystalline Cs3Ce3AlS8 at its relaxed geometry (GGA-PBE, Alexandria).

Summary:
**SG**: No. 166
**Crystal system**: trigonal
**VASP energy**: -5.388 eV/atom

Structure (extended XYZ):
```
15
Lattice="4.080 2.356 8.200 -4.080 2.356 8.200 0.000 -4.711 8.200" Properties=species:S:1:pos:R:3 pbc="T T T"
Cs -2.040 -1.178 8.200
Cs -2.040 1.178 16.399
Cs 0.000 2.356 8.200
Ce -4.080 0.000 12.299
Ce -2.040 1.178 4.100
Ce 2.040 1.178 4.100
Al 0.000 0.000 12.299
S 0.000 0.000 5.621
S -1.853 -1.070 13.677
S 0.000 -2.139 10.922
S -1.853 1.070 10.922
S 1.853 -1.070 13.677
S 0.000 2.139 13.677
S 1.853 1.070 10.922
S 0.000 0.000 18.978
```

Record 5
# CsCeAlS4

Crystalline CsCeAlS4 at its relaxed geometry (GGA-PBE, Alexandria).

Summary:
**SG**: No. 11
**Crystal system**: monoclinic
**VASP energy**: -5.349 eV/atom

Structure (extended XYZ):
```
14
Lattice="6.577 0.000 0.000 0.000 6.719 0.000 -3.051 0.000 9.059" Properties=species:S:1:pos:R:3 pbc="T T T"
Cs 0.210 1.680 4.004
Cs 3.317 5.039 5.055
Ce -1.118 1.680 8.609
Ce 4.644 5.039 0.450
Al 1.302 5.039 1.430
Al 2.225 1.680 7.628
S -2.507 5.039 8.383
S -0.470 5.039 2.779
S 0.764 3.386 7.354
S 0.764 6.692 7.354
S 2.763 0.027 1.705
S 2.763 3.332 1.705
S 3.997 1.680 6.280
S 6.034 1.680 0.676
```

Record 6
# Cs2CeAlSe4

Crystalline Cs2CeAlSe4 at its relaxed geometry (GGA-PBE, Alexandria).

Summary:
**SG**: No. 74
**Crystal system**: orthorhombic
**VASP energy**: -4.299 eV/atom

Structure (extended XYZ):
```
16
Lattice="-4.402 4.557 6.377 4.402 -4.557 6.377 4.402 4.557 -6.377" Properties=species:S:1:pos:R:3 pbc="T T T"
Cs 0.000 0.000 0.000
Cs -2.201 2.279 3.188
Cs 0.000 4.557 0.000
Cs 2.201 2.279 3.188
Ce 4.402 0.000 0.000
Ce 0.000 0.000 6.377
Al 2.201 2.279 -3.188
Al 2.201 -2.279 3.188
Se 4.402 -0.558 2.988
Se 4.402 3.999 -2.988
Se 2.529 2.279 -0.396
Se 6.274 2.279 -0.396
Se -1.872 2.279 6.773
Se 1.872 2.279 6.773
Se 0.000 0.558 9.365
Se 0.000 5.116 3.388
```

> VASP energy of number 2 (Cs2CeAl2S6)?

-4.874 eV/atom

> Which formula does entry 5 have?

CsCeAlS4